(1)
Ti2NbSi PBE optimized geometry; formation energy from raw total energies = -11.34 kcal/mol of atoms
1.0
3.446 -0.002 0.000
-1.725 4.866 0.000
0.000 0.000 7.829
Nb Ti Si
2 4 2
direct
0.943 0.886 0.250 Nb
0.057 0.114 0.750 Nb
0.635 0.271 0.460 Ti
0.365 0.729 0.540 Ti
0.365 0.729 0.960 Ti
0.635 0.271 0.040 Ti
0.232 0.464 0.250 Si
0.768 0.536 0.750 Si

---

(2)
NaCa2RuC PBE optimized geometry; energy relative to the elements = 0.0822 eV per atom
1.0
-2.577 -3.589 -2.809
4.426 -1.200 -2.527
0.821 -2.731 2.735
Ru Ca C Na
1 2 1 1
direct
0.000 0.000 0.500 Ru
0.000 0.500 0.000 Ca
0.500 0.000 0.000 Ca
0.000 0.000 0.000 C
0.500 0.500 0.500 Na

---

(3)
Ca2Mg5P3N2 PBE optimized geometry; formation energy from raw total energies = -19.31 kcal/mol of atoms
1.0
-1.708 0.626 3.768
2.671 -2.754 1.668
7.124 9.665 -0.698
N P Ca Mg
2 3 2 5
direct
0.589 0.589 0.179 N
0.411 0.411 0.821 N
0.175 0.175 0.351 P
0.000 0.000 0.000 P
0.825 0.825 0.649 P
0.696 0.696 0.393 Ca
0.304 0.304 0.607 Ca
0.408 0.908 0.815 Mg
0.592 0.092 0.185 Mg
0.092 0.592 0.185 Mg
0.908 0.408 0.815 Mg
0.500 0.500 0.000 Mg

---

(4)
Pm2Ni5Rh5 PBE optimized geometry; energy relative to the elements = -0.3550 eV per atom
1.0
-3.786 -0.691 -1.266
0.846 -5.175 0.296
-2.815 0.020 8.410
Rh Ni Pm
5 5 2
direct
0.500 0.752 0.245 Rh
0.500 0.752 0.755 Rh
0.500 0.500 0.500 Rh
0.500 0.248 0.755 Rh
0.500 0.248 0.245 Rh
0.000 0.500 0.331 Ni
0.000 0.500 0.669 Ni
0.500 0.000 0.000 Ni
0.000 0.000 0.846 Ni
0.000 0.000 0.154 Ni
0.000 0.500 0.000 Pm
0.000 0.000 0.500 Pm

---

(5)
TbTh4Sb5 PBE optimized geometry; formation energy from raw total energies = -22.01 kcal/mol of atoms
1.0
0.171 -1.972 -4.026
4.391 -4.037 2.164
-10.374 -4.114 4.073
Sb Tb Th
5 1 4
direct
0.597 0.097 0.194 Sb
0.000 0.500 0.000 Sb
0.800 0.300 0.599 Sb
0.403 0.903 0.806 Sb
0.200 0.700 0.401 Sb
0.000 0.000 0.000 Tb
0.801 0.801 0.602 Th
0.600 0.600 0.200 Th
0.400 0.400 0.800 Th
0.199 0.199 0.398 Th

---

(6)
La2CdPt5Rh2 PBE optimized geometry; energy relative to the elements = -0.6832 eV per atom
1.0
4.247 0.000 0.000
0.000 9.497 0.000
0.000 0.000 9.497
La Pt Rh Cd
4 10 4 2
direct
0.000 0.827 0.673 La
0.000 0.327 0.827 La
0.000 0.673 0.173 La
0.000 0.173 0.327 La
0.500 0.000 0.500 Pt
0.500 0.564 0.705 Pt
0.500 0.064 0.795 Pt
0.500 0.295 0.564 Pt
0.500 0.500 0.000 Pt
0.500 0.705 0.436 Pt
0.500 0.795 0.936 Pt
0.500 0.936 0.205 Pt
0.500 0.205 0.064 Pt
0.500 0.436 0.295 Pt
0.000 0.874 0.374 Rh
0.000 0.126 0.626 Rh
0.000 0.374 0.126 Rh
0.000 0.626 0.874 Rh
0.000 0.500 0.500 Cd
0.000 0.000 0.000 Cd

---

(7)
ThInNiAu PBE optimized geometry; energy relative to the elements = -0.4267 eV per atom
1.0
4.935 0.000 0.000
2.468 4.274 0.000
2.468 1.425 4.030
Au In Th Ni
1 1 1 1
direct
0.750 0.750 0.750 Au
0.500 0.500 0.500 In
0.000 0.000 0.000 Th
0.250 0.250 0.250 Ni

---

(8)
Er2ScNi PBE optimized geometry; energy relative to the elements = -0.2242 eV per atom; energy above the most stable polymorph in this dataset = 0.036 eV/atom
1.0
-1.473 2.720 1.645
-0.176 -4.711 3.902
8.234 2.448 3.326
Er Ni Sc
4 2 2
direct
0.365 0.730 0.932 Er
0.365 0.730 0.568 Er
0.635 0.270 0.068 Er
0.635 0.270 0.432 Er
0.251 0.502 0.250 Ni
0.749 0.498 0.750 Ni
0.920 0.841 0.250 Sc
0.080 0.159 0.750 Sc

---

no.,electronic total energy (eV per cell),total magnetization (Bohr magnetons per cell)
1,-66.5,0.00
2,-23.4,0.00
3,-54.9,0.00
4,-79.4,0.00
5,-64.5,0.00
6,-125.0,0.00
7,-20.9,0.00
8,-44.3,0.00